Record 1
Below is AsIrAu4 after structural relaxation, with properties calculated at the PBE level.

Cell: 5.4333 5.4333 5.4333 Å, 60.00 60.00 60.00°
Last column: nearest neighbours and their distance in Å.
Fractional coordinates of all 6 atoms:
As (0.0000, 0.0000, 0.0000)  12 Au 3.19, 4 Ir 3.33
Ir (0.2500, 0.2500, 0.2500)  12 Au 3.19, 4 As 3.33
Au (0.1255, 0.6248, 0.6248)  6 Au 2.71-2.72
Au (0.6248, 0.1255, 0.6248)  6 Au 2.71-2.72
Au (0.6248, 0.6248, 0.1255)  6 Au 2.71-2.72
Au (0.6248, 0.6248, 0.6248)  6 Au 2.71-2.72

formation energy from the elements = 62.9 kJ per mole of atoms
DOS(E_F) = 4.29 states/eV/f.u.
electronic total energy = -22.71 eV per cell


Record 2
Below is AsIr3Au after structural relaxation, with properties calculated at the PBE level.

Cell: 4.8685 4.8685 4.8685 Å, 90.00 90.00 90.00°
Last column: nearest neighbours and their distance in Å.
Fractional coordinates of all 5 atoms:
As (0.0000, 0.0000, 0.0000)  12 Ir 3.44
Ir (0.0000, 0.5000, 0.5000)  2 Au 2.43
Ir (0.5000, 0.0000, 0.5000)  2 Au 2.43
Ir (0.5000, 0.5000, 0.0000)  2 Au 2.43
Au (0.5000, 0.5000, 0.5000)  6 Ir 2.43

energy relative to the lowest polymorph listed for this composition = 1218 meV per atom
formation energy from the elements = 225.8 kJ per mole of atoms
DOS(E_F) = 10.32 states/eV/f.u.
electronic total energy = -22.81 eV per cell


Record 3
Below is AsIr3Au after structural relaxation, with properties calculated at the PBE level.

Cell: 4.5613 4.5613 4.5613 Å, 90.00 90.00 90.00°
Last column: nearest neighbours and their distance in Å.
Fractional coordinates of all 5 atoms:
As (0.0000, 0.0000, 0.0000)  6 Ir 2.28
Ir (0.0000, 0.0000, 0.5000)  2 As 2.28
Ir (0.0000, 0.5000, 0.0000)  2 As 2.28
Ir (0.5000, 0.0000, 0.0000)  2 As 2.28
Au (0.5000, 0.5000, 0.5000)  12 Ir 3.23

energy relative to the lowest polymorph listed for this composition = 0 meV per atom
formation energy from the elements = 108.3 kJ per mole of atoms
DOS(E_F) = 6.22 states/eV/f.u.
electronic total energy = -28.90 eV per cell


Record 4
Below is AsIrAu3 after structural relaxation, with properties calculated at the PBE level.

Cell: 4.7652 4.7652 4.7652 Å, 90.00 90.00 90.00°
Last column: nearest neighbours and their distance in Å.
Fractional coordinates of all 5 atoms:
As (0.0000, 0.0000, 0.0000)  6 Au 2.38
Ir (0.5000, 0.5000, 0.5000)  12 Au 3.37
Au (0.0000, 0.0000, 0.5000)  2 As 2.38
Au (0.0000, 0.5000, 0.0000)  2 As 2.38
Au (0.5000, 0.0000, 0.0000)  2 As 2.38

energy relative to the lowest polymorph listed for this composition = 0 meV per atom
formation energy from the elements = 108.1 kJ per mole of atoms
DOS(E_F) = 4.24 states/eV/f.u.
electronic total energy = -17.74 eV per cell


Record 5
Below is AsIr4Au after structural relaxation, with properties calculated at the PBE level.

Cell: 5.2328 5.2328 5.2328 Å, 60.00 60.00 60.00°
Last column: nearest neighbours and their distance in Å.
Fractional coordinates of all 6 atoms:
As (0.0000, 0.0000, 0.0000)  12 Ir 3.07, 4 Au 3.20
Ir (0.3749, 0.3749, 0.3749)  6 Ir 2.61-2.62
Ir (0.3749, 0.3749, 0.8753)  6 Ir 2.61-2.62
Ir (0.3749, 0.8753, 0.3749)  6 Ir 2.61-2.62
Ir (0.8753, 0.3749, 0.3749)  6 Ir 2.61-2.62
Au (0.7500, 0.7500, 0.7500)  12 Ir 3.07, 4 As 3.20

formation energy from the elements = 60.0 kJ per mole of atoms
DOS(E_F) = 7.73 states/eV/f.u.
electronic total energy = -39.64 eV per cell


Record 6
Below is AsIrAu3 after structural relaxation, with properties calculated at the PBE level.

Cell: 5.0019 5.0019 5.0019 Å, 90.00 90.00 90.00°
Last column: nearest neighbours and their distance in Å.
Fractional coordinates of all 5 atoms:
As (0.0000, 0.0000, 0.0000)  12 Au 3.54
Ir (0.5000, 0.5000, 0.5000)  6 Au 2.50
Au (0.0000, 0.5000, 0.5000)  2 Ir 2.50
Au (0.5000, 0.0000, 0.5000)  2 Ir 2.50
Au (0.5000, 0.5000, 0.0000)  2 Ir 2.50

energy relative to the lowest polymorph listed for this composition = 129 meV per atom
formation energy from the elements = 120.5 kJ per mole of atoms
DOS(E_F) = 6.04 states/eV/f.u.
electronic total energy = -17.10 eV per cell


> Look up the formation energy from the elements of the third one.

108.3 kJ per mole of atoms


> Which formula does entry 6 have?

AsIrAu3